Record 1
A geometry-optimized MnAl2Mo structure. Source: the Alexandria database, functional PBE.

abc: 3.039 3.039 6.009
angles: 90.00 90.00 90.00
Positions (direct):
Mo  0.500  0.500  0.734
Al  0.000  0.000  0.997
Al  0.500  0.500  0.273
Mn  0.000  0.000  0.496

Computed properties:
Calculated volume: 55.49 Å³/f.u.
Magnetic moment: 0.0 μB per formula unit
Total DFT energy (no corrections): -28.4 eV per cell

=====

Record 2
A geometry-optimized MnHgTe structure. Source: the Alexandria database, functional PBE.

abc: 6.904 6.904 6.904
angles: 148.69 154.25 40.97
Positions (direct):
Mn  0.327  0.327  0.000
Te  0.704  0.704  0.000
Hg  0.969  0.969  0.000

Computed properties:
Calculated volume: 74.15 Å³/f.u.
Offset from the most stable computed form: 159 meV per atom
ΔE_f (raw): 0.218 eV per atom
Magnetic moment: 4.1 μB per formula unit
Total DFT energy (no corrections): -12.0 eV per cell